Material: MgTiCrP3O12
Method: DFT, PBE+U
State: relaxed

Output
* density of states at the Fermi level: 0.000 states/eV/f.u.
* symmetry: No. 161
* DFT total energy: -273.1 eV/cell

a = 8.5104 Å, b = 8.5104 Å, c = 8.5104 Å
α = 60.69°, β = 60.69°, γ = 60.69°
Site moments in Bohr magnetons follow the coordinates.
Fractional coordinates of all 36 atoms:
O (0.6804, 0.8893, 0.4969)  0.00
O (0.3893, 0.1804, 0.9969)  0.00
O (0.4459, 0.5884, 0.2424)  0.00
O (0.9969, 0.3893, 0.1804)  0.00
O (0.8154, 0.9969, 0.6193)  0.00
O (0.9459, 0.7424, 0.0884)  0.00
O (0.1194, 0.4969, 0.3154)  0.00
O (0.2586, 0.9091, 0.0606)  -0.01
O (0.6193, 0.8154, 0.9969)  0.00
O (0.0884, 0.9459, 0.7424)  0.00
O (0.1804, 0.9969, 0.3893)  0.00
O (0.8893, 0.4969, 0.6804)  0.00
O (0.4091, 0.7586, 0.5606)  -0.01
O (0.7586, 0.5606, 0.4091)  -0.01
O (0.2424, 0.4459, 0.5884)  0.00
O (0.9091, 0.0606, 0.2586)  -0.01
O (0.7424, 0.0884, 0.9459)  0.00
O (0.4969, 0.3154, 0.1193)  0.00
O (0.9969, 0.6193, 0.8154)  0.00
O (0.4969, 0.6804, 0.8893)  0.00
O (0.3154, 0.1193, 0.4969)  0.00
O (0.5884, 0.2424, 0.4459)  0.00
O (0.5606, 0.4091, 0.7586)  -0.01
O (0.0606, 0.2586, 0.9091)  -0.01
P (0.0437, 0.4554, 0.7487)  0.00
P (0.4554, 0.7487, 0.0437)  0.00
P (0.5437, 0.2487, 0.9554)  0.00
P (0.2487, 0.9554, 0.5437)  0.00
P (0.7487, 0.0437, 0.4554)  0.00
P (0.9554, 0.5437, 0.2487)  0.00
Cr (0.6417, 0.6417, 0.6417)  2.91
Cr (0.1417, 0.1417, 0.1417)  2.91
Ti (0.3559, 0.3559, 0.3559)  0.01
Ti (0.8559, 0.8559, 0.8559)  0.01
Mg (0.0014, 0.0014, 0.0014)  0.00
Mg (0.5014, 0.5014, 0.5014)  0.00